The following is a GGA-PBEsol calculation of a relaxed structure of Ba3ScO, from the Alexandria database.

Calculated values
Energy, eV/atom: -2.916
D(E_F), states/eV per atom: 1.17
Space group: No. 221
Calculated density, g/cm3: 3.868

```
Ba3ScO
1.0
-5.4230 0.0607 -2.2658
-1.3672 -4.7738 3.1444
-1.8078 3.4283 4.4187
O Sc Ba
1 1 3
direct
0.5000 0.5000 0.5000
0.0000 0.0000 0.0000
0.5000 0.0000 0.0000
0.0000 0.0000 0.5000
0.0000 0.5000 0.0000
```


The following is a GGA-PBEsol calculation of a relaxed structure of HgAu, from the Alexandria database.

Calculated values
D(E_F), states/eV per atom: 0.28
Calculated formation energy, eV/atom: 0.06
Space group: No. 8
Calculated density, g/cm3: 17.238

```
HgAu
1.0
3.1814 0.0000 0.0000
-1.5907 5.2535 -0.1297
0.0000 -2.3288 6.9317
Au Hg
3 3
direct
0.3102 0.6203 0.6887
0.4173 0.8346 0.2564
0.0026 0.0052 0.9969
0.7011 0.4021 0.3433
0.7161 0.4321 0.9468
0.0195 0.0390 0.6012
```


The following is a GGA-PBEsol calculation of a relaxed structure of ScZnRu, from the Alexandria database.

Calculated values
D(E_F), states/eV per atom: 0.64
Calculated formation energy, eV/atom: -0.36
Space group: No. 107
Calculated density, g/cm3: 7.587

```
ScZnRu
1.0
3.2595 0.0000 0.0000
0.0000 3.2595 0.0000
-1.6298 -1.6298 4.3556
Sc Ru Zn
1 1 1
direct
0.3405 0.3405 0.6810
0.0065 0.0065 0.0130
0.6530 0.6530 0.3059
```


The following is a GGA-PBEsol calculation of a relaxed structure of SiIrBr2, from the Alexandria database.

Calculated values
Energy, eV/atom: -3.849
D(E_F), states/eV per atom: 0.77
Space group: No. 225
Calculated density, g/cm3: 8.693

```
SiIrBr2
1.0
4.6827 0.0000 0.0000
2.3414 4.0554 0.0000
2.3414 1.3518 3.8234
Ir Si Br
1 1 2
direct
0.0000 0.0000 0.0000
0.5000 0.5000 0.5000
0.2500 0.2500 0.2500
0.7500 0.7500 0.7500
```


The following is a GGA-PBEsol calculation of a relaxed structure of Mg2BeCr, from the Alexandria database.

Calculated values
D(E_F), states/eV per atom: 0.51
Calculated formation energy, eV/atom: 0.81
Space group: No. 122
Calculated density, g/cm3: 2.632

```
Mg2BeCr
1.0
5.2635 0.0000 0.0000
2.6318 5.1264 0.0000
2.6318 0.0000 5.1264
Cr Be Mg
2 2 4
direct
0.7500 0.5000 0.5000
0.0000 0.0000 0.0000
0.5000 0.0000 0.0000
0.2500 0.5000 0.5000
0.3750 0.4601 0.0399
0.1649 0.9601 0.4601
0.5851 0.0399 0.5399
0.8750 0.5399 0.9601
```


The following is a GGA-PBEsol calculation of a relaxed structure of ZrTl2Pt, from the Alexandria database.

Calculated values
D(E_F), states/eV per atom: 0.70
Calculated formation energy, eV/atom: 0.05
Space group: No. 166
Energy relative to the lowest polymorph listed for this composition, eV/atom: 0.2358
Calculated density, g/cm3: 13.812

```
ZrTl2Pt
1.0
3.2768 0.0000 0.0000
1.6384 2.8378 0.0000
1.6384 0.9459 8.9865
Tl Zr Pt
2 1 1
direct
0.2567 0.2567 0.2298
0.7433 0.7433 0.7702
0.5000 0.5000 0.5000
0.0000 0.0000 0.0000
```